Entry 1:
Material: Cs2Ga4Rh
Method: DFT, PBE
State: optimized geometry

a = 4.8845 Å, b = 4.8845 Å, c = 10.3836 Å
α = 76.40°, β = 76.40°, γ = 90.00°
Closest atoms and distances in Å follow each position.
Fractional positions:
Cs1 0.6653 0.6653 0.6693  4 Ga 3.54
Cs2 0.3347 0.3347 0.3307  4 Ga 3.54
Rh1 0.0000 0.0000 0.0000  6 Ga 2.44
Ga1 0.8752 0.8752 0.2497  1 Rh 2.44
Ga2 0.1248 0.1248 0.7503  1 Rh 2.44
Ga3 0.0000 0.5000 0.0000  2 Rh 2.44
Ga4 0.5000 0.0000 0.0000  2 Rh 2.44

As for the energy relative to the elements: -0.12 eV per atom.

=====

Entry 2:
Material: CsGa2Rh
Method: DFT, PBE
State: optimized geometry

a = 6.4866 Å, b = 6.4866 Å, c = 8.2249 Å
α = 66.78°, β = 66.78°, γ = 90.00°
Closest atoms and distances in Å follow each position.
Fractional positions:
Cs1 0.0000 0.0000 0.0000  8 Ga 4.01
Cs2 0.7500 0.2500 0.5000  8 Ga 4.01
Rh1 0.5000 0.5000 0.0000  4 Ga 2.35
Rh2 0.2500 0.7500 0.5000  4 Ga 2.35
Ga1 0.3750 0.1250 0.2500  2 Rh 2.35
Ga2 0.3750 0.6250 0.2500  2 Rh 2.35
Ga3 0.3750 0.6250 0.7500  2 Rh 2.35
Ga4 0.8750 0.6250 0.7500  2 Rh 2.35

As for the energy relative to the elements: -0.21 eV per atom.

=====

Entry 3:
Material: Cs2GaRhS4
Method: DFT, PBE
State: optimized geometry

a = 6.7127 Å, b = 7.4880 Å, c = 12.2816 Å
α = 82.96°, β = 74.14°, γ = 63.37°
Closest atoms and distances in Å follow each position.
Fractional positions:
Cs1 0.1774 0.0000 0.6452  4 S 3.62-3.66
Cs2 0.8226 0.0000 0.3548  4 S 3.62-3.66
Cs3 0.5726 0.5000 0.8548  4 S 3.62-3.66
Cs4 0.9274 0.5000 0.1452  4 S 3.62-3.66
Ga1 0.2500 0.5000 0.5000  4 S 2.31
Ga2 0.5000 0.0000 0.0000  4 S 2.31
Rh1 0.7500 0.5000 0.5000  4 S 2.29
Rh2 0.0000 0.0000 0.0000  4 S 2.29
S1 0.2819 0.8363 0.0952  1 Rh 2.29, 1 Ga 2.31
S2 0.2133 0.1637 0.9048  1 Rh 2.29, 1 Ga 2.31
S3 0.8818 0.8363 0.9048  1 Rh 2.29, 1 Ga 2.31
S4 0.6230 0.1637 0.0952  1 Rh 2.29, 1 Ga 2.31
S5 0.4681 0.6637 0.4048  1 Rh 2.29, 1 Ga 2.31
S6 0.5367 0.3363 0.5952  1 Rh 2.29, 1 Ga 2.31
S7 0.8682 0.6637 0.5952  1 Rh 2.29, 1 Ga 2.31
S8 0.1270 0.3363 0.4048  1 Rh 2.29, 1 Ga 2.31

The calculation puts the uncorrected formation energy at -6.264 eV/f.u.

=====

Entry 4:
Material: CsScGaRh2
Method: DFT, PBE
State: optimized geometry

a = 4.9895 Å, b = 5.4543 Å, c = 4.9895 Å
α = 90.00°, β = 90.00°, γ = 90.00°
Closest atoms and distances in Å follow each position.
Fractional positions:
Cs1 0.0000 0.0000 0.0000  4 Rh 2.49, 2 Ga 2.73
Sc1 0.5000 0.5000 0.5000  4 Ga 3.53, 8 Rh 3.70
Rh1 0.0000 0.0000 0.5000  2 Cs 2.49
Rh2 0.5000 0.0000 0.0000  2 Cs 2.49
Ga1 0.0000 0.5000 0.0000  2 Cs 2.73

As for the energy relative to the elements: 1.57 eV per atom.

=====

Entry 5:
Material: CsGaRhSe2
Method: DFT, PBE
State: optimized geometry

a = 5.0908 Å, b = 5.4918 Å, c = 5.0908 Å
α = 90.00°, β = 90.00°, γ = 90.00°
Closest atoms and distances in Å follow each position.
Fractional positions:
Cs1 0.0000 0.5000 0.0000  2 Rh 2.75
Rh1 0.0000 0.0000 0.0000  4 Se 2.55, 2 Cs 2.75
Ga1 0.5000 0.5000 0.5000  4 Cs 3.60, 8 Se 3.74
Se1 0.0000 0.0000 0.5000  2 Rh 2.55
Se2 0.5000 0.0000 0.0000  2 Rh 2.55

The calculation puts the uncorrected formation energy at 0.644 eV/f.u.

=====

Entry 6:
Material: CsTl2GaRh
Method: DFT, PBE
State: optimized geometry

a = 5.4521 Å, b = 5.4521 Å, c = 4.9694 Å
α = 90.00°, β = 90.00°, γ = 90.00°
Closest atoms and distances in Å follow each position.
Fractional positions:
Cs1 0.5000 0.5000 0.5000  8 Tl 3.69, 4 Ga 3.86
Tl1 0.0000 0.5000 0.0000  2 Rh 2.73
Tl2 0.5000 0.0000 0.0000  2 Rh 2.73
Rh1 0.0000 0.0000 0.0000  2 Ga 2.48, 4 Tl 2.73
Ga1 0.0000 0.0000 0.5000  2 Rh 2.48

As for the energy relative to the elements: -0.11 eV per atom.

=====

Entry 7:
Material: CsYGaRh2
Method: DFT, PBE
State: optimized geometry

a = 5.0325 Å, b = 5.4335 Å, c = 5.0325 Å
α = 90.00°, β = 90.00°, γ = 90.00°
Closest atoms and distances in Å follow each position.
Fractional positions:
Cs1 0.0000 0.0000 0.0000  4 Rh 2.52, 2 Ga 2.72
Y1 0.5000 0.5000 0.5000  4 Ga 3.56, 8 Rh 3.70
Rh1 0.0000 0.0000 0.5000  2 Cs 2.52
Rh2 0.5000 0.0000 0.0000  2 Cs 2.52
Ga1 0.0000 0.5000 0.0000  2 Cs 2.72

As for the energy relative to the elements: 1.33 eV per atom.

=====

Entry 8:
Material: CsZnGa2Rh
Method: DFT, PBE
State: optimized geometry

a = 4.9115 Å, b = 4.9115 Å, c = 5.1297 Å
α = 90.00°, β = 90.00°, γ = 90.00°
Closest atoms and distances in Å follow each position.
Fractional positions:
Cs1 0.5000 0.5000 0.5000  4 Zn 3.47, 8 Ga 3.55
Zn1 0.0000 0.0000 0.5000  2 Rh 2.56
Rh1 0.0000 0.0000 0.0000  4 Ga 2.46, 2 Zn 2.56
Ga1 0.0000 0.5000 0.0000  2 Rh 2.46
Ga2 0.5000 0.0000 0.0000  2 Rh 2.46

As for the energy relative to the elements: -0.25 eV per atom.

=====

Uncorrected energy for the records above, in order: -3.14; -3.78; -4.36; -3.42; -3.51; -3.30; -3.68; -3.36 eV per atom